# CaHg2Pb (GGA-PBEsol, optimized geometry)
# Calculated density in Mg/m³: 10.56
# VASP energy in hartree per atom: -0.0811
# Fermi-level density of states in states/eV/cell: 1.36
# Crystal system: tetragonal
# M_tot in μB per atom: 0.0000
# Formation energy from the elements in meV/atom: -390
data_CaHg2Pb
_cell_length_a 3.7069
_cell_length_b 3.7069
_cell_length_c 7.4212
_cell_angle_alpha 90.00
_cell_angle_beta 90.00
_cell_angle_gamma 90.00
_space_group_name_H-M_alt 'P 4/m m m'
_space_group_IT_number 123
_space_group_name_Hall '-P 4 2'
loop_
_atom_site_label
_atom_site_type_symbol
_atom_site_fract_x
_atom_site_fract_y
_atom_site_fract_z
_atom_site_occupancy
Ca1 Ca 0.0000 0.0000 0.0000 1
Hg1 Hg 0.5000 0.5000 0.2417 1
Pb1 Pb 0.0000 0.0000 0.5000 1